Entry 1:
# Y2NbGa2Rh5 (PBE, optimized geometry)
data_Y2NbGa2Rh5
_chemical_formula_sum 'Y4 Nb2 Ga4 Rh10'
_cell_length_a 9.862
_cell_length_b 9.862
_cell_length_c 3.554
_cell_angle_alpha 90.00
_cell_angle_beta 90.00
_cell_angle_gamma 90.00
_space_group_name_H-M_alt 'P 4/m b m'
_space_group_IT_number 127
_space_group_name_Hall '-P 4 2ab'
loop_
_atom_site_label
_atom_site_fract_x
_atom_site_fract_y
_atom_site_fract_z
Y1 0.173 0.327 0.000
Nb1 0.000 0.000 0.000
Ga1 0.125 0.625 0.000
Rh1 0.000 0.500 0.500
Rh2 0.066 0.798 0.500
# Total magnetization in μB per formula unit: 0.00
# Energy of formation in kJ/mol of atoms: -71.6
# Calculated total energy in eV per atom: -7.323

Entry 2:
# NbZnGa2Rh (PBE, optimized geometry)
data_NbZnGa2Rh
_chemical_formula_sum 'Nb1 Zn1 Ga2 Rh1'
_cell_length_a 4.594
_cell_length_b 4.594
_cell_length_c 4.620
_cell_angle_alpha 90.00
_cell_angle_beta 90.00
_cell_angle_gamma 90.00
_space_group_name_H-M_alt 'P 4/m m m'
_space_group_IT_number 123
_space_group_name_Hall '-P 4 2'
loop_
_atom_site_label
_atom_site_fract_x
_atom_site_fract_y
_atom_site_fract_z
Nb1 0.000 0.000 0.000
Zn1 0.500 0.500 0.000
Ga1 0.000 0.500 0.500
Rh1 0.500 0.500 0.500
# Total magnetization in μB per formula unit: 0.01
# Energy of formation in kJ/mol of atoms: 43.8
# Calculated total energy in eV per atom: -4.496

Entry 3:
# NbGa3Ru4 (PBE, optimized geometry)
data_NbGa3Ru4
_chemical_formula_sum 'Nb1 Ga3 Ru4'
_cell_length_a 3.135
_cell_length_b 4.327
_cell_length_c 8.550
_cell_angle_alpha 90.00
_cell_angle_beta 90.00
_cell_angle_gamma 90.00
_space_group_name_H-M_alt 'P m m m'
_space_group_IT_number 47
_space_group_name_Hall '-P 2 2'
loop_
_atom_site_label
_atom_site_fract_x
_atom_site_fract_y
_atom_site_fract_z
Nb1 0.000 0.000 0.000
Ga1 0.000 0.000 0.500
Ga2 0.000 0.500 0.252
Ru1 0.500 0.000 0.252
Ru2 0.500 0.500 0.000
Ru3 0.500 0.500 0.500
# Total magnetization in μB per formula unit: 0.00
# Energy of formation in kJ/mol of atoms: -35.7
# Calculated total energy in eV per atom: -7.402

Entry 4:
# Nb3GaRu (PBE, optimized geometry)
data_Nb3GaRu
_chemical_formula_sum 'Nb3 Ga1 Ru1'
_cell_length_a 4.801
_cell_length_b 4.801
_cell_length_c 4.801
_cell_angle_alpha 90.00
_cell_angle_beta 90.00
_cell_angle_gamma 90.00
_space_group_name_H-M_alt 'P m -3 m'
_space_group_IT_number 221
_space_group_name_Hall '-P 4 2 3'
loop_
_atom_site_label
_atom_site_fract_x
_atom_site_fract_y
_atom_site_fract_z
Nb1 0.000 0.000 0.500
Ga1 0.500 0.500 0.500
Ru1 0.000 0.000 0.000
# Total magnetization in μB per formula unit: 0.00
# Energy of formation in kJ/mol of atoms: 87.6
# Excess energy over the best structure of this formula in the dataset in eV per atom: 0.000
# Calculated total energy in eV per atom: -7.594

Entry 5:
# NbGa2Ru (PBE, optimized geometry)
data_NbGa2Ru
_chemical_formula_sum 'Nb3 Ga6 Ru3'
_cell_length_a 2.9508
_cell_length_b 2.9508
_cell_length_c 25.4218
_cell_angle_alpha 90.00
_cell_angle_beta 90.00
_cell_angle_gamma 120.00
_space_group_name_H-M_alt 'R 3 m'
_space_group_IT_number 160
_space_group_name_Hall 'R 3 -2"'
loop_
_atom_site_label
_atom_site_fract_x
_atom_site_fract_y
_atom_site_fract_z
Nb1 0.0000 0.0000 0.0000
Ga1 0.0000 0.0000 0.5761
Ga2 0.0000 0.0000 0.7557
Ru1 0.0000 0.0000 0.1657
# Total magnetization in μB per formula unit: 0.00
# Energy of formation in kJ/mol of atoms: -14.8
# Calculated total energy in eV per atom: -6.503

Entry 6:
# Nb2GaRu3 (PBE, optimized geometry)
data_Nb2GaRu3
_chemical_formula_sum 'Nb2 Ga1 Ru3'
_cell_length_a 3.151
_cell_length_b 3.151
_cell_length_c 9.305
_cell_angle_alpha 90.00
_cell_angle_beta 90.00
_cell_angle_gamma 90.00
_space_group_name_H-M_alt 'P 4/m m m'
_space_group_IT_number 123
_space_group_name_Hall '-P 4 2'
loop_
_atom_site_label
_atom_site_fract_x
_atom_site_fract_y
_atom_site_fract_z
Nb1 0.000 0.000 0.174
Ga1 0.000 0.000 0.500
Ru1 0.500 0.500 0.000
Ru2 0.500 0.500 0.341
# Total magnetization in μB per formula unit: 0.00
# Energy of formation in kJ/mol of atoms: -33.3
# Excess energy over the best structure of this formula in the dataset in eV per atom: 0.000
# Calculated total energy in eV per atom: -8.844

Entry 7:
# NbGa2Ru (PBE, optimized geometry)
data_NbGa2Ru
_chemical_formula_sum 'Nb4 Ga8 Ru4'
_cell_length_a 7.028
_cell_length_b 7.028
_cell_length_c 5.430
_cell_angle_alpha 90.00
_cell_angle_beta 90.00
_cell_angle_gamma 90.00
_space_group_name_H-M_alt 'I -4 2 d'
_space_group_IT_number 122
_space_group_name_Hall 'I -4 2bw'
loop_
_atom_site_label
_atom_site_fract_x
_atom_site_fract_y
_atom_site_fract_z
Nb1 0.000 0.000 0.000
Ga1 0.230 0.250 0.625
Ru1 0.000 0.000 0.500
# Total magnetization in μB per formula unit: 0.00
# Energy of formation in kJ/mol of atoms: 8.0
# Calculated total energy in eV per atom: -6.267

Entry 8:
# Nb2GaRu4 (PBE, optimized geometry)
data_Nb2GaRu4
_chemical_formula_sum 'Nb4 Ga2 Ru8'
_cell_length_a 4.469
_cell_length_b 4.469
_cell_length_c 12.763
_cell_angle_alpha 90.00
_cell_angle_beta 90.00
_cell_angle_gamma 90.00
_space_group_name_H-M_alt 'I 4/m m m'
_space_group_IT_number 139
_space_group_name_Hall '-I 4 2'
loop_
_atom_site_label
_atom_site_fract_x
_atom_site_fract_y
_atom_site_fract_z
Nb1 0.000 0.000 0.132
Ga1 0.000 0.000 0.500
Ru1 0.000 0.000 0.310
Ru2 0.000 0.500 0.000
# Total magnetization in μB per formula unit: 0.00
# Energy of formation in kJ/mol of atoms: 74.8
# Calculated total energy in eV per atom: -7.835

Entry 9:
# NbGa2Ru3 (PBE, optimized geometry)
data_NbGa2Ru3
_chemical_formula_sum 'Nb1 Ga2 Ru3'
_cell_length_a 3.132
_cell_length_b 3.132
_cell_length_c 9.009
_cell_angle_alpha 90.00
_cell_angle_beta 90.00
_cell_angle_gamma 90.00
_space_group_name_H-M_alt 'P 4/m m m'
_space_group_IT_number 123
_space_group_name_Hall '-P 4 2'
loop_
_atom_site_label
_atom_site_fract_x
_atom_site_fract_y
_atom_site_fract_z
Nb1 0.000 0.000 0.000
Ga1 0.000 0.000 0.342
Ru1 0.500 0.500 0.171
Ru2 0.500 0.500 0.500
# Total magnetization in μB per formula unit: 0.00
# Energy of formation in kJ/mol of atoms: -36.7
# Calculated total energy in eV per atom: -7.706

Entry 10:
# Nb2GaRu2 (PBE, optimized geometry)
data_Nb2GaRu2
_chemical_formula_sum 'Nb4 Ga2 Ru4'
_cell_length_a 7.378
_cell_length_b 7.378
_cell_length_c 3.086
_cell_angle_alpha 90.00
_cell_angle_beta 90.00
_cell_angle_gamma 90.00
_space_group_name_H-M_alt 'P 4/m b m'
_space_group_IT_number 127
_space_group_name_Hall '-P 4 2ab'
loop_
_atom_site_label
_atom_site_fract_x
_atom_site_fract_y
_atom_site_fract_z
Nb1 0.166 0.334 0.000
Ga1 0.000 0.000 0.500
Ru1 0.134 0.634 0.500
# Total magnetization in μB per formula unit: 0.00
# Energy of formation in kJ/mol of atoms: -12.8
# Calculated total energy in eV per atom: -8.476

Entry 11:
# NbGa2Ru (PBE, optimized geometry)
data_NbGa2Ru
_chemical_formula_sum 'Nb1 Ga2 Ru1'
_cell_length_a 3.040
_cell_length_b 3.040
_cell_length_c 6.636
_cell_angle_alpha 90.00
_cell_angle_beta 90.00
_cell_angle_gamma 90.00
_space_group_name_H-M_alt 'P 4/m m m'
_space_group_IT_number 123
_space_group_name_Hall '-P 4 2'
loop_
_atom_site_label
_atom_site_fract_x
_atom_site_fract_y
_atom_site_fract_z
Nb1 0.000 0.000 0.000
Ga1 0.500 0.500 0.282
Ru1 0.000 0.000 0.500
# Total magnetization in μB per formula unit: 0.00
# Energy of formation in kJ/mol of atoms: -25.9
# Calculated total energy in eV per atom: -6.618

Entry 12:
# Nb3GaRu (PBE, optimized geometry)
data_Nb3GaRu
_chemical_formula_sum 'Nb3 Ga1 Ru1'
_cell_length_a 4.677
_cell_length_b 4.677
_cell_length_c 4.677
_cell_angle_alpha 90.00
_cell_angle_beta 90.00
_cell_angle_gamma 90.00
_space_group_name_H-M_alt 'P m -3 m'
_space_group_IT_number 221
_space_group_name_Hall '-P 4 2 3'
loop_
_atom_site_label
_atom_site_fract_x
_atom_site_fract_y
_atom_site_fract_z
Nb1 0.000 0.000 0.500
Ga1 0.000 0.000 0.000
Ru1 0.500 0.500 0.500
# Total magnetization in μB per formula unit: 0.36
# Energy of formation in kJ/mol of atoms: 127.7
# Excess energy over the best structure of this formula in the dataset in eV per atom: 0.415
# Calculated total energy in eV per atom: -7.179

Entry 13:
# Nb2GaRu3 (PBE, optimized geometry)
data_Nb2GaRu3
_chemical_formula_sum 'Nb4 Ga2 Ru6'
_cell_length_a 4.354
_cell_length_b 13.175
_cell_length_c 3.223
_cell_angle_alpha 90.00
_cell_angle_beta 90.00
_cell_angle_gamma 90.00
_space_group_name_H-M_alt 'C m m m'
_space_group_IT_number 65
_space_group_name_Hall '-C 2 2'
loop_
_atom_site_label
_atom_site_fract_x
_atom_site_fract_y
_atom_site_fract_z
Nb1 0.000 0.163 0.000
Ga1 0.000 0.500 0.000
Ru1 0.000 0.000 0.500
Ru2 0.000 0.334 0.500
# Total magnetization in μB per formula unit: 0.00
# Energy of formation in kJ/mol of atoms: -32.7
# Excess energy over the best structure of this formula in the dataset in eV per atom: 0.006
# Calculated total energy in eV per atom: -8.838

Entry 14:
# NbGaRu5 (PBE, optimized geometry)
data_NbGaRu5
_chemical_formula_sum 'Nb1 Ga1 Ru5'
_cell_length_a 4.173
_cell_length_b 4.173
_cell_length_c 6.234
_cell_angle_alpha 90.00
_cell_angle_beta 90.00
_cell_angle_gamma 90.00
_space_group_name_H-M_alt 'P 4/m m m'
_space_group_IT_number 123
_space_group_name_Hall '-P 4 2'
loop_
_atom_site_label
_atom_site_fract_x
_atom_site_fract_y
_atom_site_fract_z
Nb1 0.000 0.000 0.000
Ga1 0.500 0.500 0.500
Ru1 0.000 0.500 0.271
Ru2 0.500 0.500 0.000
# Total magnetization in μB per formula unit: 0.00
# Energy of formation in kJ/mol of atoms: 9.7
# Calculated total energy in eV per atom: -8.396

Entry 15:
# Nb6Ga3Ru (PBE, optimized geometry)
data_Nb6Ga3Ru
_chemical_formula_sum 'Nb12 Ga6 Ru2'
_cell_length_a 4.987
_cell_length_b 7.797
_cell_length_c 10.469
_cell_angle_alpha 90.00
_cell_angle_beta 117.89
_cell_angle_gamma 90.00
_space_group_name_H-M_alt 'P 1 21/c 1'
_space_group_IT_number 14
_space_group_name_Hall '-P 2ybc'
loop_
_atom_site_label
_atom_site_fract_x
_atom_site_fract_y
_atom_site_fract_z
Nb1 0.009 0.169 0.062
Nb2 0.371 0.177 0.432
Nb3 0.402 0.566 0.253
Ga1 0.000 0.000 0.500
Ga2 0.122 0.617 0.752
Ru1 0.500 0.000 0.000
# Total magnetization in μB per formula unit: 0.00
# Energy of formation in kJ/mol of atoms: 1.5
# Calculated total energy in eV per atom: -7.861

Entry 16:
# NbGa2Ru (PBE, optimized geometry)
data_NbGa2Ru
_chemical_formula_sum 'Nb3 Ga6 Ru3'
_cell_length_a 2.8823
_cell_length_b 2.8823
_cell_length_c 28.3763
_cell_angle_alpha 90.00
_cell_angle_beta 90.00
_cell_angle_gamma 120.00
_space_group_name_H-M_alt 'R -3 m'
_space_group_IT_number 166
_space_group_name_Hall '-R 3 2"'
loop_
_atom_site_label
_atom_site_fract_x
_atom_site_fract_y
_atom_site_fract_z
Nb1 0.0000 0.0000 0.0000
Ga1 0.0000 0.0000 0.0965
Ru1 0.0000 0.0000 0.5000
# Total magnetization in μB per formula unit: 0.00
# Energy of formation in kJ/mol of atoms: 15.2
# Calculated total energy in eV per atom: -6.192

Entry 17:
# NbGa2Ru (PBE, optimized geometry)
data_NbGa2Ru
_chemical_formula_sum 'Nb1 Ga2 Ru1'
_cell_length_a 3.937
_cell_length_b 3.937
_cell_length_c 4.013
_cell_angle_alpha 90.00
_cell_angle_beta 90.00
_cell_angle_gamma 90.00
_space_group_name_H-M_alt 'P 4/m m m'
_space_group_IT_number 123
_space_group_name_Hall '-P 4 2'
loop_
_atom_site_label
_atom_site_fract_x
_atom_site_fract_y
_atom_site_fract_z
Nb1 0.000 0.000 0.000
Ga1 0.000 0.500 0.500
Ru1 0.500 0.500 0.000
# Total magnetization in μB per formula unit: 0.00
# Energy of formation in kJ/mol of atoms: -17.5
# Calculated total energy in eV per atom: -6.531

Entry 18:
# Sc2NbGa2Ru5 (PBE, optimized geometry)
data_Sc2NbGa2Ru5
_chemical_formula_sum 'Sc4 Nb2 Ga4 Ru10'
_cell_length_a 9.874
_cell_length_b 9.874
_cell_length_c 3.337
_cell_angle_alpha 90.00
_cell_angle_beta 90.00
_cell_angle_gamma 90.00
_space_group_name_H-M_alt 'P 4/m b m'
_space_group_IT_number 127
_space_group_name_Hall '-P 4 2ab'
loop_
_atom_site_label
_atom_site_fract_x
_atom_site_fract_y
_atom_site_fract_z
Sc1 0.170 0.330 0.000
Nb1 0.000 0.000 0.000
Ga1 0.129 0.629 0.000
Ru1 0.000 0.500 0.500
Ru2 0.069 0.802 0.500
# Total magnetization in μB per formula unit: 0.00
# Energy of formation in kJ/mol of atoms: -34.7
# Calculated total energy in eV per atom: -7.876

Entry 19:
# SrNb2GaRu (PBE, optimized geometry)
data_SrNb2GaRu
_chemical_formula_sum 'Sr1 Nb2 Ga1 Ru1'
_cell_length_a 4.921
_cell_length_b 4.921
_cell_length_c 4.944
_cell_angle_alpha 90.00
_cell_angle_beta 90.00
_cell_angle_gamma 90.00
_space_group_name_H-M_alt 'P 4/m m m'
_space_group_IT_number 123
_space_group_name_Hall '-P 4 2'
loop_
_atom_site_label
_atom_site_fract_x
_atom_site_fract_y
_atom_site_fract_z
Sr1 0.000 0.000 0.000
Nb1 0.000 0.500 0.500
Ga1 0.500 0.500 0.000
Ru1 0.500 0.500 0.500
# Total magnetization in μB per formula unit: 0.00
# Energy of formation in kJ/mol of atoms: 52.5
# Calculated total energy in eV per atom: -6.281

Entry 20:
# TaNb2GaRu (PBE, optimized geometry)
data_TaNb2GaRu
_chemical_formula_sum 'Ta1 Nb2 Ga1 Ru1'
_cell_length_a 4.715
_cell_length_b 4.715
_cell_length_c 4.425
_cell_angle_alpha 90.00
_cell_angle_beta 90.00
_cell_angle_gamma 90.00
_space_group_name_H-M_alt 'P 4/m m m'
_space_group_IT_number 123
_space_group_name_Hall '-P 4 2'
loop_
_atom_site_label
_atom_site_fract_x
_atom_site_fract_y
_atom_site_fract_z
Ta1 0.000 0.000 0.000
Nb1 0.000 0.500 0.500
Ga1 0.500 0.500 0.500
Ru1 0.500 0.500 0.000
# Total magnetization in μB per formula unit: 0.00
# Energy of formation in kJ/mol of atoms: 103.5
# Calculated total energy in eV per atom: -7.787

What did we get for calculated volume? Answer: 17.28 19.50 14.50 22.14 15.97 15.40 16.76 18.21 14.72 16.80 15.33 20.46 15.41 15.51 17.99 17.01 15.55 16.27 23.95 19.67 A^3/atom, in the order shown.